No. 1
The following is a DFT calculation (PBE-GGA) of a relaxed structure of Ca2MgMnHg.

Summary:
energy of formation from the pure elements = 0.53 eV/atom
energy = -12.44 eV per formula unit

abc: 5.276 5.024 5.276
angles: 90.00 90.00 90.00
Sites, in units of the cell vectors:
Mg: 0.000 0.500 0.000
Ca: 0.500 0.000 0.000
Ca: 0.000 0.000 0.500
Mn: 0.000 0.000 0.000
Hg: 0.500 0.500 0.500

No. 2
The following is a DFT calculation (PBE-GGA) of a relaxed structure of Tb2Sm15Ho2.

Summary:
energy of formation from the pure elements = 0.28 eV/atom
energy = -83.89 eV per formula unit

abc: 8.842 8.842 8.842
angles: 78.30 78.30 78.30
Sites, in units of the cell vectors:
Sm: 0.620 0.155 0.620
Sm: 0.155 0.620 0.620
Sm: 0.000 0.703 0.297
Sm: 0.845 0.380 0.380
Sm: 0.703 0.000 0.297
Sm: 0.000 0.297 0.703
Sm: 0.380 0.845 0.380
Sm: 0.297 0.703 0.000
Sm: 0.297 0.000 0.703
Sm: 0.620 0.620 0.155
Sm: 0.000 0.500 0.000
Sm: 0.500 0.000 0.000
Sm: 0.000 0.000 0.500
Sm: 0.703 0.297 0.000
Sm: 0.380 0.380 0.845
Ho: 0.315 0.315 0.315
Ho: 0.685 0.685 0.685
Tb: 0.092 0.092 0.092
Tb: 0.908 0.908 0.908

No. 3
The following is a DFT calculation (PBE-GGA) of a relaxed structure of TbPmPrSm2.

Summary:
energy of formation from the pure elements = 0.27 eV/atom
energy = -22.25 eV per formula unit

abc: 6.640 8.409 6.291
angles: 93.43 90.00 90.00
Sites, in units of the cell vectors:
Sm: 0.691 0.310 0.730
Sm: 0.691 0.690 0.770
Sm: 0.309 0.310 0.230
Sm: 0.309 0.690 0.270
Pm: 0.568 0.000 0.250
Pm: 0.432 0.000 0.750
Tb: 0.836 0.500 0.250
Tb: 0.164 0.500 0.750
Pr: 0.000 0.000 0.000
Pr: 0.000 0.000 0.500

No. 4
The following is a DFT calculation (PBE-GGA) of a relaxed structure of Ga3Pb3Au8.

Summary:
energy of formation from the pure elements = -0.13 eV/atom
energy = -48.20 eV per formula unit

abc: 4.601 8.523 8.851
angles: 65.86 74.92 77.07
Sites, in units of the cell vectors:
Pb: 0.725 0.229 0.354
Pb: 0.000 0.000 0.000
Pb: 0.275 0.771 0.646
Au: 0.502 0.349 0.680
Au: 0.373 0.040 0.228
Au: 0.098 0.572 0.153
Au: 0.126 0.162 0.604
Au: 0.627 0.960 0.772
Au: 0.902 0.428 0.847
Au: 0.874 0.838 0.396
Au: 0.498 0.651 0.320
Ga: 0.358 0.349 0.004
Ga: 0.642 0.651 0.996
Ga: 0.000 0.500 0.500

No. 5
The following is a DFT calculation (PBE-GGA) of a relaxed structure of Cr2ReRu.

Summary:
energy of formation from the pure elements = 0.16 eV/atom
energy = -40.33 eV per formula unit

abc: 4.609 4.609 4.566
angles: 80.51 80.51 33.75
Sites, in units of the cell vectors:
Ru: 0.747 0.747 0.765
Cr: 0.002 0.002 0.996
Cr: 0.253 0.253 0.244
Re: 0.498 0.498 0.495

No. 6
The following is a DFT calculation (PBE-GGA) of a relaxed structure of ZrRh4Cl.

Summary:
formation energy without anion corrections = 0.075 eV per atom
energy = -39.35 eV per formula unit

abc: 5.222 5.222 5.222
angles: 60.00 60.00 60.00
Sites, in units of the cell vectors:
Cl: 0.000 0.000 0.000
Zr: 0.750 0.750 0.750
Rh: 0.874 0.375 0.375
Rh: 0.375 0.375 0.375
Rh: 0.375 0.874 0.375
Rh: 0.375 0.375 0.874

> Which of these has the highest energy?

Ca2MgMnHg

Please write out number 6 again, unchanged.
The following is a DFT calculation (PBE-GGA) of a relaxed structure of ZrRh4Cl.

Summary:
formation energy without anion corrections = 0.075 eV per atom
energy = -39.35 eV per formula unit

abc: 5.222 5.222 5.222
angles: 60.00 60.00 60.00
Sites, in units of the cell vectors:
Cl: 0.000 0.000 0.000
Zr: 0.750 0.750 0.750
Rh: 0.874 0.375 0.375
Rh: 0.375 0.375 0.375
Rh: 0.375 0.874 0.375
Rh: 0.375 0.375 0.874

> Among the records above, which one has the highest energy?

Ca2MgMnHg